Density functional theory data (PBE) for a relaxed Na2TlRh2O6 crystal. Values from VASP.

* magnetic moment: 0.94 μB per formula unit
* formation energy from raw total energies: -0.978 eV/atom
* calculated total energy: -60.213 eV per formula unit

Cell and atoms, written as Quantum ESPRESSO input:
```
&SYSTEM
  ibrav = 0, nat = 11, ntyp = 4
/
ATOMIC_SPECIES
Na 22.99 Na.upf
Tl 204.38 Tl.upf
Rh 102.91 Rh.upf
O 16.00 O.upf
ATOMIC_POSITIONS crystal
Na 0.833 0.167 0.000
Na 0.167 0.833 0.000
Tl 0.000 0.000 0.500
Rh 0.335 0.665 0.500
Rh 0.665 0.335 0.500
O 0.703 0.703 0.698
O 0.057 0.433 0.694
O 0.297 0.297 0.302
O 0.433 0.057 0.694
O 0.943 0.567 0.306
O 0.567 0.943 0.306
CELL_PARAMETERS angstrom
-1.445 3.589 -4.095
-0.700 -5.559 -0.584
-4.274 1.092 3.752
```